TiNb2In after structural relaxation, computed with PBE.

Geometry as extended XYZ:
```
8
Lattice="3.962 0.000 0.000 0.000 3.962 0.000 1.981 1.981 10.215" Properties=species:S:1:pos:R:3 pbc="T T T"
Nb 2.932 0.991 2.554
Nb 1.030 2.972 2.554
Nb 2.972 3.012 7.661
Nb 4.953 4.913 7.661
Ti 1.981 1.981 0.000
Ti 1.981 3.962 5.108
In 0.000 0.000 0.000
In 3.962 1.981 5.108
```

Calculated values
Energy relative to the elements in eV per atom: 0.4223
ρ in g cm⁻³: 7.2
Symmetry: No. 122



Ti7Nb2In3 after structural relaxation, computed with PBE.

Geometry as extended XYZ:
```
12
Lattice="-1.190 2.641 0.176 -4.504 -2.048 0.289 5.077 1.268 15.292" Properties=species:S:1:pos:R:3 pbc="T T T"
Ti 3.347 2.256 12.686
Ti -3.963 -0.396 3.070
Ti -1.481 0.443 7.260
Ti 0.865 1.418 8.497
Ti 0.000 0.000 0.000
Ti 1.602 -0.162 13.271
Ti -1.029 -0.617 2.309
Nb -1.741 0.499 4.667
Nb 1.125 1.362 11.090
In -0.651 -0.952 9.891
In 1.225 0.173 5.690
In -2.847 0.296 0.232
```

Calculated values
Energy relative to the elements in eV per atom: 0.0810
ρ in g cm⁻³: 6.4
Symmetry: No. 10



Ti3Nb2In2 after structural relaxation, computed with PBE.

Geometry as extended XYZ:
```
7
Lattice="2.860 0.293 0.479 -0.913 7.264 -1.232 0.873 -2.399 6.767" Properties=species:S:1:pos:R:3 pbc="T T T"
Ti 0.000 0.000 0.000
Ti 1.729 2.958 0.649
Ti 1.091 2.199 5.365
Nb 1.974 -0.478 5.018
Nb 0.846 5.635 0.995
In 2.357 4.162 3.405
In 0.463 0.995 2.609
```

Calculated values
Energy relative to the elements in eV per atom: -0.0397
Distance to the lowest polymorph of the same formula in meV/atom: 43.5
ρ in g cm⁻³: 7.1
Symmetry: No. 2



Ti2NbIn after structural relaxation, computed with PBE.

Geometry as extended XYZ:
```
4
Lattice="-2.534 -0.681 -1.719 -1.396 -2.808 0.054 -7.450 1.095 6.097" Properties=species:S:1:pos:R:3 pbc="T T T"
Ti -5.854 0.709 4.609
Ti -2.919 -0.787 0.929
Nb -10.070 -1.234 4.984
In -5.676 -1.184 2.224
```

Calculated values
Energy relative to the elements in eV per atom: 0.0465
ρ in g cm⁻³: 6.6
Symmetry: No. 8